1.
{"formula": "Cs2KAsPd", "functional": "PBE", "state": "optimized geometry", "density_g_cm3": 3.38, "total_energy_ev_per_cell": -13.3, "relative_energy_ev_per_atom": 0.000, "formation_energy_ev_per_atom": -0.125, "volume_a3_per_fu": 239, "lattice_angstrom": [[-6.132, -0.942, -3.422], [3.052, -4.888, -4.122], [-1.219, -3.390, 3.117]], "species": ["Cs", "Cs", "As", "K", "Pd"], "frac_coords": [[0.000, 0.500, 0.000], [0.500, 0.000, 0.000], [0.000, 0.000, 0.500], [0.500, 0.500, 0.500], [0.000, 0.000, 0.000]]}

2.
{"formula": "CsK2AsPt", "functional": "PBE", "state": "optimized geometry", "density_g_cm3": 4.37, "total_energy_ev_per_cell": -14.7, "formation_energy_ev_per_atom": -0.202, "volume_a3_per_fu": 183, "lattice_angstrom": [[-2.034, 5.284, -2.452], [-2.790, 1.397, 5.324], [3.981, 2.229, 1.501]], "species": ["Cs", "As", "K", "K", "Pt"], "frac_coords": [[0.500, 0.500, 0.500], [0.000, 0.000, 0.500], [0.000, 0.500, 0.000], [0.500, 0.000, 0.000], [0.000, 0.000, 0.000]]}

3.
{"formula": "Cs2KAs2Pt", "functional": "PBE", "state": "optimized geometry", "density_g_cm3": 4.59, "total_energy_ev_per_cell": -40.6, "formation_energy_ev_per_atom": -0.356, "volume_a3_per_fu": 235, "lattice_angstrom": [[-1.673, 2.564, -6.786], [4.160, -6.515, -3.487], [-7.516, -2.044, 5.164]], "species": ["Cs", "Cs", "Cs", "Cs", "K", "K", "As", "As", "As", "As", "Pt", "Pt"], "frac_coords": [[0.690, 0.862, 0.379], [0.190, 0.517, 0.379], [0.810, 0.483, 0.621], [0.310, 0.138, 0.621], [0.250, 0.000, 0.000], [0.750, 0.000, 0.000], [0.450, 0.631, 0.900], [0.550, 0.369, 0.100], [0.050, 0.730, 0.100], [0.950, 0.270, 0.900], [0.750, 0.500, 0.000], [0.250, 0.500, 0.000]]}

4.
{"formula": "Cs2KAsPt", "functional": "PBE", "state": "optimized geometry", "density_g_cm3": 3.82, "total_energy_ev_per_cell": -14.3, "relative_energy_ev_per_atom": 0.022, "formation_energy_ev_per_atom": -0.152, "volume_a3_per_fu": 250, "lattice_angstrom": [[7.342, 0.000, 0.000], [0.000, 7.342, 0.000], [0.000, 0.000, 4.640]], "species": ["Cs", "Cs", "As", "K", "Pt"], "frac_coords": [[0.000, 0.500, 0.000], [0.500, 0.000, 0.000], [0.000, 0.000, 0.000], [0.500, 0.500, 0.500], [0.000, 0.000, 0.500]]}

5.
{"formula": "CsK2As2Pt", "functional": "PBE", "state": "optimized geometry", "density_g_cm3": 3.74, "total_energy_ev_per_cell": -20.0, "formation_energy_ev_per_atom": -0.263, "volume_a3_per_fu": 247, "lattice_angstrom": [[-1.848, 5.400, 2.815], [-3.838, 1.251, -4.920], [-1.680, -6.316, 3.821]], "species": ["Cs", "K", "K", "As", "As", "Pt"], "frac_coords": [[0.500, 0.500, 0.000], [0.250, 0.750, 0.500], [0.750, 0.250, 0.500], [0.811, 0.811, 0.622], [0.189, 0.189, 0.378], [0.000, 0.000, 0.000]]}

6.
{"formula": "CsKAsPt", "functional": "PBE", "state": "optimized geometry", "density_g_cm3": 4.91, "total_energy_ev_per_cell": -14.3, "formation_energy_ev_per_atom": -0.407, "volume_a3_per_fu": 150, "lattice_angstrom": [[5.419, 0.000, 0.000], [0.000, 4.497, 0.000], [-2.709, 0.000, 6.136]], "species": ["Cs", "K", "As", "Pt"], "frac_coords": [[0.737, 0.500, 0.473], [0.028, 0.000, 0.055], [0.435, 0.500, 0.870], [0.370, 0.000, 0.740]]}

7.
{"formula": "Cs2KAsPt", "functional": "PBE", "state": "optimized geometry", "density_g_cm3": 3.90, "total_energy_ev_per_cell": -14.4, "relative_energy_ev_per_atom": 0.000, "formation_energy_ev_per_atom": -0.174, "volume_a3_per_fu": 245, "lattice_angstrom": [[7.237, 0.000, 0.000], [0.000, 7.237, 0.000], [0.000, 0.000, 4.674]], "species": ["Cs", "Cs", "As", "K", "Pt"], "frac_coords": [[0.000, 0.500, 0.000], [0.500, 0.000, 0.000], [0.000, 0.000, 0.500], [0.500, 0.500, 0.500], [0.000, 0.000, 0.000]]}

8.
{"formula": "CsK2RbAs", "functional": "PBE", "state": "optimized geometry", "density_g_cm3": 1.99, "total_energy_ev_per_cell": -9.4, "relative_energy_ev_per_atom": 0.000, "formation_energy_ev_per_atom": -0.147, "volume_a3_per_fu": 310, "lattice_angstrom": [[-0.724, -0.468, 6.605], [-6.258, -2.122, -0.836], [2.267, -6.599, -0.219]], "species": ["Cs", "As", "K", "K", "Rb"], "frac_coords": [[0.500, 0.500, 0.500], [0.000, 0.000, 0.000], [0.000, 0.500, 0.000], [0.500, 0.000, 0.000], [0.000, 0.000, 0.500]]}

9.
{"formula": "Cs2KRbAs", "functional": "PBE", "state": "optimized geometry", "density_g_cm3": 2.11, "total_energy_ev_per_cell": -8.8, "formation_energy_ev_per_atom": -0.082, "volume_a3_per_fu": 366, "lattice_angstrom": [[-3.175, 5.973, -2.518], [0.283, -2.674, -6.699], [-6.301, -2.963, 0.916]], "species": ["Cs", "Cs", "As", "K", "Rb"], "frac_coords": [[0.000, 0.500, 0.000], [0.500, 0.000, 0.000], [0.000, 0.000, 0.000], [0.500, 0.500, 0.500], [0.000, 0.000, 0.500]]}

10.
{"formula": "CsKRbAs", "functional": "PBE", "state": "optimized geometry", "density_g_cm3": 3.52, "total_energy_ev_per_cell": -8.6, "formation_energy_ev_per_atom": -0.246, "volume_a3_per_fu": 157, "lattice_angstrom": [[6.053, 0.000, 0.000], [3.027, 5.242, 0.000], [3.027, 1.747, 4.943]], "species": ["Cs", "As", "K", "Rb"], "frac_coords": [[0.750, 0.750, 0.750], [0.250, 0.250, 0.250], [0.500, 0.500, 0.500], [0.000, 0.000, 0.000]]}

11.
{"formula": "CsKRb2As", "functional": "PBE", "state": "optimized geometry", "density_g_cm3": 2.13, "total_energy_ev_per_cell": -9.2, "formation_energy_ev_per_atom": -0.128, "volume_a3_per_fu": 326, "lattice_angstrom": [[-0.194, 2.559, -6.515], [3.895, -5.376, -2.228], [-5.528, -3.503, -1.212]], "species": ["Cs", "As", "K", "Rb", "Rb"], "frac_coords": [[0.500, 0.500, 0.500], [0.000, 0.000, 0.000], [0.000, 0.000, 0.500], [0.000, 0.500, 0.000], [0.500, 0.000, 0.000]]}

12.
{"formula": "CsK2RbAs", "functional": "PBE", "state": "optimized geometry", "density_g_cm3": 1.94, "total_energy_ev_per_cell": -9.3, "relative_energy_ev_per_atom": 0.025, "formation_energy_ev_per_atom": -0.122, "volume_a3_per_fu": 318, "lattice_angstrom": [[6.642, 0.000, 0.000], [0.000, 6.642, 0.000], [0.000, 0.000, 7.208]], "species": ["Cs", "As", "K", "K", "Rb"], "frac_coords": [[0.000, 0.000, 0.500], [0.000, 0.000, 0.000], [0.000, 0.500, 0.000], [0.500, 0.000, 0.000], [0.500, 0.500, 0.500]]}

13.
{"formula": "Cs2KAs2S6", "functional": "PBE", "state": "optimized geometry", "density_g_cm3": 2.65, "total_energy_ev_per_cell": -43.0, "volume_a3_per_fu": 406, "lattice_angstrom": [[-6.138, 2.689, 3.416], [-0.635, -5.583, -5.026], [2.479, -3.785, 7.433]], "species": ["Cs", "Cs", "K", "As", "As", "S", "S", "S", "S", "S", "S"], "frac_coords": [[0.685, 0.371, 0.182], [0.315, 0.629, 0.818], [0.500, 0.000, 0.500], [0.982, 0.965, 0.683], [0.018, 0.035, 0.317], [0.812, 0.624, 0.625], [0.172, 0.868, 0.212], [0.304, 0.132, 0.788], [0.828, 0.132, 0.788], [0.696, 0.868, 0.212], [0.188, 0.376, 0.375]]}

14.
{"formula": "CsKAsS3", "functional": "PBE", "state": "optimized geometry", "density_g_cm3": 2.49, "total_energy_ev_per_cell": -46.9, "volume_a3_per_fu": 229, "lattice_angstrom": [[-5.272, 4.985, 2.086], [-6.953, -2.866, 0.657], [2.801, -2.096, 8.219]], "species": ["Cs", "Cs", "K", "K", "As", "As", "S", "S", "S", "S", "S", "S"], "frac_coords": [[0.662, 0.662, 0.916], [0.338, 0.338, 0.084], [0.225, 0.775, 0.500], [0.775, 0.225, 0.500], [0.978, 0.978, 0.855], [0.022, 0.022, 0.145], [0.127, 0.127, 0.760], [0.109, 0.665, 0.793], [0.665, 0.109, 0.793], [0.335, 0.891, 0.207], [0.891, 0.335, 0.207], [0.873, 0.873, 0.240]]}

15.
{"formula": "Cs2KAsS4", "functional": "PBE", "state": "optimized geometry", "density_g_cm3": 2.55, "total_energy_ev_per_cell": -60.2, "volume_a3_per_fu": 330, "lattice_angstrom": [[-6.534, -1.033, 2.712], [-5.431, -2.765, -4.712], [0.166, -13.157, 4.815]], "species": ["Cs", "Cs", "Cs", "Cs", "K", "K", "As", "As", "S", "S", "S", "S", "S", "S", "S", "S"], "frac_coords": [[0.188, 0.000, 0.625], [0.812, 0.000, 0.375], [0.562, 0.500, 0.875], [0.938, 0.500, 0.125], [0.750, 0.500, 0.500], [0.000, 0.000, 0.000], [0.250, 0.500, 0.500], [0.500, 0.000, 0.000], [0.382, 0.805, 0.095], [0.281, 0.195, 0.905], [0.813, 0.805, 0.905], [0.524, 0.195, 0.095], [0.368, 0.695, 0.405], [0.469, 0.305, 0.595], [0.937, 0.695, 0.595], [0.226, 0.305, 0.405]]}

16.
{"formula": "CsKAsS2", "functional": "PBE", "state": "optimized geometry", "density_g_cm3": 2.65, "total_energy_ev_per_cell": -34.2, "volume_a3_per_fu": 195, "lattice_angstrom": [[-0.546, -2.163, -5.025], [6.754, -4.473, 1.191], [-6.420, -5.341, 2.998]], "species": ["Cs", "Cs", "K", "K", "As", "As", "S", "S", "S", "S"], "frac_coords": [[0.232, 0.500, 0.750], [0.768, 0.500, 0.250], [0.487, 0.000, 0.250], [0.513, 0.000, 0.750], [0.000, 0.000, 0.000], [0.000, 0.000, 0.500], [0.743, 0.762, 0.958], [0.743, 0.238, 0.542], [0.257, 0.762, 0.458], [0.257, 0.238, 0.042]]}

17.
{"formula": "CsKSbAs", "functional": "PBE", "state": "optimized geometry", "density_g_cm3": 3.43, "total_energy_ev_per_cell": -11.9, "volume_a3_per_fu": 179, "lattice_angstrom": [[-4.245, -0.587, 2.036], [-1.176, -4.843, -3.849], [5.137, -1.034, 4.882]], "species": ["Cs", "K", "Sb", "As"], "frac_coords": [[0.527, 0.527, 0.055], [0.861, 0.861, 0.723], [0.745, 0.245, 0.491], [0.135, 0.135, 0.271]]}

18.
{"formula": "Cs2KAs2Se6", "functional": "PBE", "state": "optimized geometry", "density_g_cm3": 3.21, "total_energy_ev_per_cell": -38.9, "volume_a3_per_fu": 480, "lattice_angstrom": [[-3.757, 3.971, 5.209], [-2.968, -6.362, -2.764], [7.562, -2.214, 7.141]], "species": ["Cs", "Cs", "K", "As", "As", "Se", "Se", "Se", "Se", "Se", "Se"], "frac_coords": [[0.713, 0.426, 0.140], [0.287, 0.574, 0.860], [0.500, 0.000, 0.500], [0.917, 0.833, 0.747], [0.083, 0.167, 0.253], [0.752, 0.503, 0.777], [0.248, 0.971, 0.221], [0.277, 0.029, 0.779], [0.752, 0.029, 0.779], [0.723, 0.971, 0.221], [0.248, 0.497, 0.223]]}

19.
{"formula": "CsKAsSe3", "functional": "PBE", "state": "optimized geometry", "density_g_cm3": 3.25, "total_energy_ev_per_cell": -42.6, "volume_a3_per_fu": 247, "lattice_angstrom": [[7.487, -0.398, -1.790], [3.157, 6.800, -1.790], [1.018, 0.612, 9.135]], "species": ["Cs", "Cs", "K", "K", "As", "As", "Se", "Se", "Se", "Se", "Se", "Se"], "frac_coords": [[0.655, 0.655, 0.903], [0.345, 0.345, 0.097], [0.222, 0.778, 0.500], [0.778, 0.222, 0.500], [0.978, 0.978, 0.857], [0.022, 0.022, 0.143], [0.136, 0.136, 0.761], [0.112, 0.651, 0.792], [0.651, 0.112, 0.792], [0.349, 0.888, 0.208], [0.888, 0.349, 0.208], [0.864, 0.864, 0.239]]}

20.
{"formula": "CsK2AsSe4", "functional": "PBE", "state": "optimized geometry", "density_g_cm3": 3.28, "total_energy_ev_per_cell": -51.2, "volume_a3_per_fu": 304, "lattice_angstrom": [[9.183, 1.230, -0.621], [1.223, 9.184, -0.621], [-5.574, -5.578, 8.014]], "species": ["Cs", "Cs", "K", "K", "K", "K", "As", "As", "Se", "Se", "Se", "Se", "Se", "Se", "Se", "Se"], "frac_coords": [[0.000, 0.500, 0.000], [0.000, 0.500, 0.500], [0.500, 0.000, 0.000], [0.500, 0.000, 0.500], [0.000, 0.000, 0.500], [0.500, 0.500, 0.000], [0.500, 0.500, 0.500], [0.000, 0.000, 0.000], [0.242, 0.805, 0.028], [0.695, 0.258, 0.472], [0.305, 0.742, 0.528], [0.758, 0.195, 0.972], [0.989, 0.998, 0.213], [0.502, 0.511, 0.287], [0.498, 0.489, 0.713], [0.011, 0.002, 0.787]]}

21.
{"formula": "CsKSnAs", "functional": "PBE", "state": "optimized geometry", "density_g_cm3": 3.35, "total_energy_ev_per_cell": -11.6, "formation_energy_ev_per_atom": -0.237, "volume_a3_per_fu": 181, "lattice_angstrom": [[4.320, -0.007, -0.023], [-2.154, 3.744, 0.023], [-2.085, -1.288, 11.210]], "species": ["Cs", "K", "Sn", "As"], "frac_coords": [[0.509, 0.639, 0.148], [0.570, 0.172, 0.742], [0.743, 0.757, 0.500], [0.333, 0.051, 0.384]]}

22.
{"formula": "Cs4K2SnAs2", "functional": "PBE", "state": "optimized geometry", "density_g_cm3": 3.17, "total_energy_ev_per_cell": -20.3, "formation_energy_ev_per_atom": -0.158, "volume_a3_per_fu": 461, "lattice_angstrom": [[5.184, 0.562, 0.382], [1.609, 9.692, -0.607], [1.609, 2.994, 9.238]], "species": ["Cs", "Cs", "Cs", "Cs", "K", "K", "Sn", "As", "As"], "frac_coords": [[0.136, 0.668, 0.062], [0.864, 0.938, 0.332], [0.864, 0.332, 0.938], [0.136, 0.062, 0.668], [0.346, 0.651, 0.651], [0.654, 0.349, 0.349], [0.500, 0.000, 0.000], [0.303, 0.198, 0.198], [0.697, 0.802, 0.802]]}

23.
{"formula": "CsKTe4As2", "functional": "PBE", "state": "optimized geometry", "density_g_cm3": 4.01, "total_energy_ev_per_cell": -26.6, "volume_a3_per_fu": 345, "lattice_angstrom": [[6.215, 0.000, 0.000], [3.107, 7.504, 0.381], [3.107, 0.995, 7.447]], "species": ["Cs", "K", "Te", "Te", "Te", "Te", "As", "As"], "frac_coords": [[0.000, 0.000, 0.000], [0.500, 0.500, 0.500], [0.312, 0.016, 0.458], [0.787, 0.984, 0.542], [0.213, 0.458, 0.016], [0.688, 0.542, 0.984], [0.135, 0.365, 0.365], [0.865, 0.635, 0.635]]}

24.
{"formula": "Cs2KTe4As", "functional": "PBE", "state": "optimized geometry", "density_g_cm3": 3.79, "total_energy_ev_per_cell": -49.5, "volume_a3_per_fu": 390, "lattice_angstrom": [[-4.029, 5.656, -0.435], [-6.081, 0.497, 7.133], [6.579, 9.478, 6.645]], "species": ["Cs", "Cs", "Cs", "Cs", "K", "K", "Te", "Te", "Te", "Te", "Te", "Te", "Te", "Te", "As", "As"], "frac_coords": [[0.185, 0.000, 0.631], [0.815, 0.000, 0.369], [0.565, 0.500, 0.869], [0.935, 0.500, 0.131], [0.750, 0.500, 0.500], [0.000, 0.000, 0.000], [0.363, 0.803, 0.139], [0.305, 0.197, 0.861], [0.834, 0.803, 0.861], [0.498, 0.197, 0.139], [0.387, 0.697, 0.361], [0.445, 0.303, 0.639], [0.916, 0.697, 0.639], [0.252, 0.303, 0.361], [0.250, 0.500, 0.500], [0.500, 0.000, 0.000]]}